The following is a DFT calculation (GGA-PBE) of a relaxed structure of LaDyTe.

abc: 8.101 11.698 7.407
angles: 142.15 90.00 90.00
Element x y z (fractional)
1 Dy 0.674 0.814 0.000
2 Dy 0.326 0.186 0.000
3 Dy 0.174 0.686 0.000
4 Dy 0.826 0.314 0.000
5 Te 0.190 0.421 0.000
6 Te 0.810 0.579 0.000
7 Te 0.690 0.079 0.000
8 Te 0.310 0.921 0.000
9 La 0.000 0.801 0.603
10 La 0.500 0.301 0.603
11 La 0.000 0.199 0.397
12 La 0.500 0.699 0.397

Values from the calculation:
DOS(E_F): 11.62 states/eV/cell
E_tot: -4.9236 eV per atom
formation energy (no corrections): -2.1 eV/f.u.
excess energy over the best structure of this formula in the dataset: 0.0 meV per atom

The following is a DFT calculation (GGA-PBE) of a relaxed structure of BaMg6Zn.

abc: 7.805 7.805 4.848
angles: 90.00 90.00 132.59
Element x y z (fractional)
1 Mg 0.812 0.674 0.500
2 Mg 0.198 0.311 0.000
3 Mg 0.700 0.300 0.000
4 Mg 0.879 0.121 0.500
5 Mg 0.326 0.188 0.500
6 Mg 0.689 0.802 0.000
7 Ba 0.285 0.715 0.500
8 Zn 0.112 0.888 0.000

Values from the calculation:
DFT formation energy: 0.05 eV per atom
DOS(E_F): 5.35 states/eV/cell
E_tot: -1.5470 eV per atom
excess energy over the best structure of this formula in the dataset: 44.6 meV per atom

The following is a DFT calculation (GGA-PBE) of a relaxed structure of ZrHgRh.

abc: 3.312 5.071 15.216
angles: 141.06 83.75 70.94
Element x y z (fractional)
1 Rh 0.290 0.003 0.418
2 Rh 0.710 0.997 0.582
3 Hg 0.557 0.987 0.899
4 Hg 0.443 0.013 0.101
5 Zr 0.216 0.874 0.694
6 Zr 0.784 0.126 0.306

Values from the calculation:
DFT formation energy: -0.38 eV per atom
DOS(E_F): 4.16 states/eV/cell
E_tot: -5.7777 eV per atom
excess energy over the best structure of this formula in the dataset: 87.6 meV per atom